[1]
The following is a GGA-PBE calculation of crystalline NbTlIr at its relaxed geometry, from the Open Quantum Materials Database.

Lattice parameters (Å, degrees): 4.4646 4.4646 4.4646 60.00 60.00 60.00
Closest atoms and distances in Å follow each position.
Atoms (fractional coordinates):
1 Nb 0.7500 0.7500 0.7500  4 Tl 2.73
2 Tl 0.0000 0.0000 0.0000  4 Nb 2.73, 4 Ir 2.73
3 Ir 0.2500 0.2500 0.2500  4 Tl 2.73

The space-group type is F-43m.

[2]
The following is a GGA-PBE calculation of crystalline Pm2TeSe at its relaxed geometry, from the Open Quantum Materials Database.

Lattice parameters (Å, degrees): 4.3357 4.3357 6.1377 90.00 90.00 90.00
Closest atoms and distances in Å follow each position.
Atoms (fractional coordinates):
1 Pm 0.5000 0.5000 0.0000  4 Se 3.07, 2 Te 3.07
2 Pm 0.0000 0.0000 0.5000  4 Te 3.07, 2 Se 3.07
3 Se 0.0000 0.0000 0.0000  6 Pm 3.07
4 Te 0.5000 0.5000 0.5000  6 Pm 3.07

The space-group type is P4/mmm.

[3]
The following is a GGA-PBE calculation of crystalline Sc2GaOs at its relaxed geometry, from the Open Quantum Materials Database.

Lattice parameters (Å, degrees): 3.2986 3.2986 6.5359 90.00 90.00 90.00
Closest atoms and distances in Å follow each position.
Atoms (fractional coordinates):
1 Os 0.0000 0.0000 0.0000  8 Sc 2.78
2 Sc 0.5000 0.5000 0.7675  4 Os 2.78, 4 Ga 2.92, 1 Sc 3.04
3 Sc 0.5000 0.5000 0.2325  4 Os 2.78, 4 Ga 2.92, 1 Sc 3.04
4 Ga 0.0000 0.0000 0.5000  8 Sc 2.92

The space-group type is P4/mmm.

[4]
The following is a GGA-PBE calculation of crystalline Hf4Nb2Cu3C3 at its relaxed geometry, from the Open Quantum Materials Database.

Lattice parameters (Å, degrees): 5.5771 5.5771 13.8291 101.88 101.88 59.95
Closest atoms and distances in Å follow each position.
Atoms (fractional coordinates):
1 Nb 0.5284 0.3582 0.0831  3 C 2.15-2.19
2 Nb 0.3582 0.5284 0.5831  3 C 2.15-2.19
3 Nb 0.6418 0.4716 0.4169  3 C 2.15-2.19
4 Nb 0.4716 0.6418 0.9169  3 C 2.15-2.19
5 Cu 0.6932 0.5847 0.7497  2 Cu 2.68-2.69, 2 Nb 2.72-2.73, 4 Hf 2.84-2.88
6 Cu 0.4153 0.3068 0.7503  2 Cu 2.68-2.69, 2 Nb 2.72-2.73, 4 Hf 2.84-2.88
7 Cu 0.5847 0.6932 0.2497  2 Cu 2.68-2.69, 2 Nb 2.72-2.73, 4 Hf 2.84-2.88
8 Cu 0.1389 0.8611 0.7500  2 Cu 2.68, 2 Nb 2.72, 4 Hf 2.84-2.86
9 Cu 0.3068 0.4153 0.2503  2 Cu 2.68-2.69, 2 Nb 2.72-2.73, 4 Hf 2.84-2.88
10 Cu 0.8611 0.1389 0.2500  2 Cu 2.68, 2 Nb 2.72, 4 Hf 2.84-2.86
11 Hf 0.1284 0.2995 0.8995  3 C 2.27-2.31
12 Hf 0.7005 0.8716 0.6005  3 C 2.27-2.31
13 Hf 0.8027 0.9626 0.8995  3 C 2.27-2.31
14 Hf 0.0374 0.1973 0.6005  3 C 2.27-2.31
15 Hf 0.2995 0.1284 0.3995  3 C 2.27-2.31
16 Hf 0.9626 0.8027 0.3995  3 C 2.27-2.31
17 Hf 0.1973 0.0374 0.1005  3 C 2.27-2.31
18 Hf 0.8716 0.7005 0.1005  3 C 2.27-2.31
19 C 0.0000 0.5000 0.5000  2 Nb 2.15, 4 Hf 2.31
20 C 0.3317 0.8366 0.5000  2 Nb 2.19, 4 Hf 2.27-2.31
21 C 0.5000 0.0000 0.0000  2 Nb 2.15, 4 Hf 2.31
22 C 0.1634 0.6683 0.0000  2 Nb 2.19, 4 Hf 2.27-2.31
23 C 0.8366 0.3317 0.0000  2 Nb 2.19, 4 Hf 2.27-2.31
24 C 0.6683 0.1634 0.5000  2 Nb 2.19, 4 Hf 2.27-2.31

The space-group type is C2/c.

[5]
The following is a GGA-PBE calculation of crystalline Lu2TlB at its relaxed geometry, from the Open Quantum Materials Database.

Lattice parameters (Å, degrees): 3.5591 3.5591 16.5369 90.00 90.00 120.00
Closest atoms and distances in Å follow each position.
Atoms (fractional coordinates):
1 Lu 0.6667 0.3333 0.5907  3 B 2.54
2 Lu 0.6667 0.3333 0.9093  3 B 2.54
3 Lu 0.3333 0.6667 0.0907  3 B 2.54
4 Lu 0.3333 0.6667 0.4093  3 B 2.54
5 B 0.0000 0.0000 0.5000  6 Lu 2.54
6 B 0.0000 0.0000 0.0000  6 Lu 2.54
7 Tl 0.3333 0.6667 0.7500  6 Lu 3.34, 6 Tl 3.56
8 Tl 0.6667 0.3333 0.2500  6 Lu 3.34, 6 Tl 3.56

The space-group type is P6_3/mmc.

[6]
The following is a GGA-PBE calculation of crystalline TlCoAg at its relaxed geometry, from the Open Quantum Materials Database.

Lattice parameters (Å, degrees): 4.4816 4.4816 4.4816 60.00 60.00 60.00
Closest atoms and distances in Å follow each position.
Atoms (fractional coordinates):
1 Co 0.2500 0.2500 0.2500  4 Ag 2.74
2 Tl 0.7500 0.7500 0.7500  4 Ag 2.74
3 Ag 0.0000 0.0000 0.0000  4 Tl 2.74, 4 Co 2.74

The space-group type is F-43m. For the energy relative to the lowest polymorph listed for this composition, the calculation gives 0 meV per atom.

[7]
The following is a GGA-PBE calculation of crystalline BaErPt at its relaxed geometry, from the Open Quantum Materials Database.

Lattice parameters (Å, degrees): 5.0031 5.0031 5.0031 60.00 60.00 60.00
Closest atoms and distances in Å follow each position.
Atoms (fractional coordinates):
1 Er 0.2500 0.2500 0.2500  4 Ba 3.06
2 Ba 0.0000 0.0000 0.0000  4 Er 3.06, 4 Pt 3.06
3 Pt 0.7500 0.7500 0.7500  4 Ba 3.06

The space-group type is F-43m. For the energy relative to the lowest polymorph listed for this composition, the calculation gives 859 meV per atom.

[8]
The following is a GGA-PBE calculation of crystalline Cd2FeC6N6 at its relaxed geometry, from the Open Quantum Materials Database.

Lattice parameters (Å, degrees): 6.2867 6.2868 6.3214 90.00 90.00 120.00
Closest atoms and distances in Å follow each position.
Atoms (fractional coordinates):
1 C 0.0070 0.2396 0.1752  1 N 1.19
2 C 0.7604 0.7675 0.1752  1 N 1.19
3 C 0.9930 0.7604 0.8248  1 N 1.19
4 C 0.2396 0.2325 0.8248  1 N 1.19
5 C 0.7674 0.0070 0.8248  1 N 1.18
6 C 0.2326 0.9930 0.1752  1 N 1.18
7 N 0.9924 0.6161 0.7038  1 C 1.19
8 N 0.3762 0.9924 0.2962  1 C 1.18
9 N 0.0076 0.3839 0.2962  1 C 1.19
10 N 0.3839 0.3763 0.7038  1 C 1.19
11 N 0.6238 0.0076 0.7038  1 C 1.18
12 N 0.6161 0.6237 0.2962  1 C 1.19
13 Cd 0.6667 0.3333 0.4877  6 N 2.34-2.36
14 Cd 0.3333 0.6667 0.5123  6 N 2.34-2.36
15 Fe 0.0000 0.0000 0.0000  6 C 1.85

The space-group type is P-3.

[9]
The following is a GGA-PBE calculation of crystalline Cd41Ir8 at its relaxed geometry, from the Open Quantum Materials Database.

Lattice parameters (Å, degrees): 10.1693 10.1693 10.1693 94.72 94.72 94.72
Closest atoms and distances in Å follow each position.
Atoms (fractional coordinates):
1 Cd 0.0495 0.7306 0.8701  2 Ir 2.70-2.75, 3 Cd 2.91-2.96
2 Cd 0.1299 0.9505 0.2694  2 Ir 2.70-2.75, 3 Cd 2.91-2.96
3 Cd 0.5000 0.5000 0.0000  2 Ir 2.77, 8 Cd 2.96-3.03
4 Cd 0.2241 0.4626 0.3302  2 Ir 2.91-2.93, 9 Cd 3.00-3.22
5 Cd 0.5496 0.2221 0.9267  2 Ir 2.74, 5 Cd 2.96-3.06
6 Cd 0.5000 0.5000 0.5000  12 Cd 3.13-3.15
7 Cd 0.0733 0.4504 0.7779  2 Ir 2.74, 5 Cd 2.96-3.06
8 Cd 0.5000 0.0000 0.5000  2 Ir 2.77, 8 Cd 2.96-3.03
9 Cd 0.6362 0.6105 0.2611  2 Ir 2.84-2.87, 7 Cd 2.98-3.14
10 Cd 0.8734 0.8223 0.3173  2 Ir 2.75-2.80, 5 Cd 2.91-3.07
11 Cd 0.1777 0.6827 0.1266  2 Ir 2.75-2.80, 5 Cd 2.91-3.07
12 Cd 0.6827 0.1266 0.1777  2 Ir 2.75-2.80, 5 Cd 2.91-3.07
13 Cd 0.0342 0.2154 0.4039  2 Ir 2.79-2.80, 5 Cd 2.95-3.03
14 Cd 0.8701 0.0495 0.7306  2 Ir 2.70-2.75, 3 Cd 2.91-2.96
15 Cd 0.3895 0.7389 0.3638  2 Ir 2.84-2.87, 7 Cd 2.98-3.14
16 Cd 0.7846 0.5961 0.9658  2 Ir 2.79-2.80, 5 Cd 2.95-3.03
17 Cd 0.4626 0.3302 0.2241  2 Ir 2.91-2.93, 9 Cd 3.00-3.22
18 Cd 0.7759 0.5374 0.6698  2 Ir 2.91-2.93, 9 Cd 3.00-3.22
19 Cd 0.4504 0.7779 0.0733  2 Ir 2.74, 5 Cd 2.96-3.06
20 Cd 0.7306 0.8701 0.0495  2 Ir 2.70-2.75, 3 Cd 2.91-2.96
21 Cd 0.9267 0.5496 0.2221  2 Ir 2.74, 5 Cd 2.96-3.06
22 Cd 0.7389 0.3638 0.3895  2 Ir 2.84-2.87, 7 Cd 2.98-3.14
23 Cd 0.6105 0.2611 0.6362  2 Ir 2.84-2.87, 7 Cd 2.98-3.14
24 Cd 0.6698 0.7759 0.5374  2 Ir 2.91-2.93, 9 Cd 3.00-3.22
25 Cd 0.3638 0.3895 0.7389  2 Ir 2.84-2.87, 7 Cd 2.98-3.14
26 Cd 0.4039 0.0342 0.2154  2 Ir 2.79-2.80, 5 Cd 2.95-3.03
27 Cd 0.2221 0.9267 0.5496  2 Ir 2.74, 5 Cd 2.96-3.06
28 Cd 0.0000 0.5000 0.5000  2 Ir 2.77, 8 Cd 2.96-3.03
29 Cd 0.5374 0.6698 0.7759  2 Ir 2.91-2.93, 9 Cd 3.00-3.22
30 Cd 0.3173 0.8734 0.8223  2 Ir 2.75-2.80, 5 Cd 2.91-3.07
31 Cd 0.1266 0.1777 0.6827  2 Ir 2.75-2.80, 5 Cd 2.91-3.07
32 Cd 0.2154 0.4039 0.0342  2 Ir 2.79-2.80, 5 Cd 2.95-3.03
33 Cd 0.5961 0.9658 0.7846  2 Ir 2.79-2.80, 5 Cd 2.95-3.03
34 Cd 0.2611 0.6362 0.6105  2 Ir 2.84-2.87, 7 Cd 2.98-3.14
35 Cd 0.8223 0.3173 0.8734  2 Ir 2.75-2.80, 5 Cd 2.91-3.07
36 Cd 0.3302 0.2241 0.4626  2 Ir 2.91-2.93, 9 Cd 3.00-3.22
37 Cd 0.9505 0.2694 0.1299  2 Ir 2.70-2.75, 3 Cd 2.91-2.96
38 Cd 0.2694 0.1299 0.9505  2 Ir 2.70-2.75, 3 Cd 2.91-2.96
39 Cd 0.0000 0.0000 0.0000  6 Cd 3.04, 2 Ir 3.14
40 Cd 0.9658 0.7846 0.5961  2 Ir 2.79-2.80, 5 Cd 2.95-3.03
41 Cd 0.7779 0.0733 0.4504  2 Ir 2.74, 5 Cd 2.96-3.06
42 Ir 0.8886 0.2863 0.6171  10 Cd 2.74-2.91
43 Ir 0.1948 0.1948 0.1948  9 Cd 2.70-2.93
44 Ir 0.7137 0.3829 0.1114  10 Cd 2.74-2.91
45 Ir 0.2863 0.6171 0.8886  10 Cd 2.74-2.91
46 Ir 0.6171 0.8886 0.2863  10 Cd 2.74-2.91
47 Ir 0.3829 0.1114 0.7137  10 Cd 2.74-2.91
48 Ir 0.8052 0.8052 0.8052  9 Cd 2.70-2.93
49 Ir 0.1114 0.7137 0.3829  10 Cd 2.74-2.91

For the energy relative to the elements, the calculation gives -7.5 kJ per mole of atoms. The space-group type is R-3.

[10]
The following is a GGA-PBE calculation of crystalline SmTm2LuIn2 at its relaxed geometry, from the Open Quantum Materials Database.

Lattice parameters (Å, degrees): 5.3493 5.3493 6.7123 90.00 90.00 120.00
Closest atoms and distances in Å follow each position.
Atoms (fractional coordinates):
1 In 0.6667 0.3333 0.7535  5 Tm 3.09-3.43
2 In 0.3333 0.6667 0.2465  5 Tm 3.09-3.43
3 Tm 0.3333 0.6667 0.7575  5 In 3.09-3.43
4 Tm 0.6667 0.3333 0.2425  5 In 3.09-3.43
5 Sm 0.0000 0.0000 0.5000  2 Lu 3.36, 6 In 3.53, 6 Tm 3.54
6 Lu 0.0000 0.0000 0.0000  2 Sm 3.36, 6 Tm 3.49, 6 In 3.50

The space-group type is P-3m1.

For reference, E_tot by record: -18.4 -22.4 -29.3 -207.1 -37.3 -9.9 -11.3 -112.2 -111.3 -25.7 eV for the cell shown.